No. 1
PmBePIr: relaxed, PBE-GGA.

Cell lengths 3.9935, 3.9935, 8.8958 Å; angles 90.00, 90.00, 90.00 degrees
Closest atoms and distances in Å follow each position.
Positions (direct):
Pm: 0.2500 0.2500 0.2014  5 P 2.89-2.95, 4 Be 3.19
Pm: 0.7500 0.7500 0.7986  5 P 2.89-2.95, 4 Be 3.19
Be: 0.2500 0.2500 0.6324  1 P 2.11, 4 Ir 2.32
Be: 0.7500 0.7500 0.3676  1 P 2.11, 4 Ir 2.32
P: 0.2500 0.2500 0.8698  1 Be 2.11
P: 0.7500 0.7500 0.1302  1 Be 2.11
Ir: 0.2500 0.7500 0.5000  4 Be 2.32
Ir: 0.7500 0.2500 0.5000  4 Be 2.32

=====

No. 2
Pr2BeP3Ir4: relaxed, PBE-GGA.

Cell lengths 4.1216, 4.1216, 9.7517 Å; angles 90.00, 90.00, 90.00 degrees
Closest atoms and distances in Å follow each position.
Positions (direct):
Pr: 0.0000 0.5000 0.2406  2 Be 3.12, 6 P 3.12-3.14, 9 Ir 3.15-3.49
Pr: 0.5000 0.0000 0.7594  2 Be 3.12, 6 P 3.12-3.14, 9 Ir 3.15-3.49
Be: 0.5000 0.5000 0.0000  4 Ir 2.36
P: 0.0000 0.0000 0.0000  4 Ir 2.36
P: 0.0000 0.5000 0.6406  5 Ir 2.36-2.47
P: 0.5000 0.0000 0.3594  5 Ir 2.36-2.47
Ir: 0.0000 0.0000 0.5000  4 P 2.47
Ir: 0.0000 0.5000 0.8829  2 Be 2.36, 3 P 2.36
Ir: 0.5000 0.0000 0.1171  2 Be 2.36, 3 P 2.36
Ir: 0.5000 0.5000 0.5000  4 P 2.47

=====

No. 3
PrBePIr: relaxed, PBE-GGA.

Cell lengths 4.0417, 4.0417, 8.9321 Å; angles 90.00, 90.00, 90.00 degrees
Closest atoms and distances in Å follow each position.
Positions (direct):
Pr: 0.2500 0.2500 0.2012  5 P 2.92-2.98, 4 Be 3.23
Pr: 0.7500 0.7500 0.7988  5 P 2.92-2.98, 4 Be 3.23
Be: 0.2500 0.2500 0.6291  1 P 2.13, 4 Ir 2.33
Be: 0.7500 0.7500 0.3709  1 P 2.13, 4 Ir 2.33
P: 0.2500 0.2500 0.8672  1 Be 2.13
P: 0.7500 0.7500 0.1328  1 Be 2.13
Ir: 0.2500 0.7500 0.5000  4 Be 2.33
Ir: 0.7500 0.2500 0.5000  4 Be 2.33

=====

ΔE_f per entry: -79.94, -89.46, -77.23 kJ per mole of atoms
Total DFT energy (no corrections) per entry: -6.5154, -7.4230, -6.4946 eV per atom